# CaPmSn2

An optimized crystal structure of CaPmSn2 (PBE-GGA, Alexandria via LeMat-Bulk).

Values from the calculation:
Calculated density = 6.23 g/cm³
Symmetry = No. 123
Formation energy from the elements = -0.634 eV/atom
DFT total energy = -17.3 eV/cell

abc: 5.020 5.020 4.466
angles: 90.00 90.00 90.00
Fractional positions:
Ca  0.000  0.000  0.000
Pm  0.500  0.500  0.000
Sn  0.000  0.500  0.500
Sn  0.500  0.000  0.500